Here is an optimized crystal structure of Tl2POs from the Alexandria database. Energies are from PBE.

Cell and atoms, written as POSCAR:
```
Tl2POs
1.0
-0.6891 -3.3276 0.3871
4.1167 -0.6361 1.8603
-1.9550 0.9458 4.6497
Tl P Os
2 1 1
Cartesian
0.0000 0.0000 0.0000
-1.3221 -1.1909 2.5184
1.0808 0.1548 3.2550
1.7138 -1.9819 1.1237
```

Values from the calculation:
total energy: -4.263 eV per atom
space-group type: No. 47
DFT formation energy: 1.080 eV per atom
crystal system: orthorhombic
Fermi-level density of states: 2.5 states/eV/cell